Density functional theory data (PBE) for crystalline TbY3Ho2 at its relaxed geometry.

POSCAR file:
```
TbY3Ho2
1.0
-0.6599 -3.2097 1.2207
9.1878 -3.0865 -3.1491
1.3235 5.5157 10.2104
Tb Y Ho
2 6 4
Direct
0.3126 0.9594 0.6252
0.6874 0.0406 0.3748
0.3045 0.2850 0.6090
0.0691 0.7707 0.1381
0.4406 0.5596 0.8813
0.6955 0.7150 0.3910
0.5594 0.4404 0.1187
0.9309 0.2293 0.8619
0.3072 0.6274 0.6144
0.6928 0.3726 0.3856
0.9289 0.8632 0.8577
0.0711 0.1368 0.1423
```

Summary:
* ΔE to the lowest computed polymorph: 99 meV/atom
* spin magnetization: 0.0 Bohr magnetons per cell
* electronic total energy: -5.407 eV per atom
* formation energy: 0.123 eV per atom
* space group: No. 12